# 1
DFT (PBE) results for an optimized crystal structure of Hf3Re.

Properties
- Formation enthalpy at 0 K: -0.205 eV per atom

a = 5.767 Å, b = 5.767 Å, c = 5.767 Å
α = 146.23°, β = 130.51°, γ = 61.26°
Atoms (fractional coordinates):
Hf  0.000  0.000  0.000
Hf  0.283  0.783  0.500
Hf  0.717  0.217  0.500
Re  0.500  0.500  0.000

=====

# 2
DFT (PBE) results for an optimized crystal structure of Tc2AsSe.

Properties
- E_form (uncorrected): -0.098 eV/atom
- ΔE to the lowest computed polymorph: 0.000 eV per atom

a = 2.974 Å, b = 2.974 Å, c = 8.026 Å
α = 90.00°, β = 90.00°, γ = 90.00°
Atoms (fractional coordinates):
Tc  0.000  0.000  0.000
Tc  0.500  0.500  0.229
As  0.000  0.000  0.420
Se  0.500  0.500  0.817

=====

# 3
DFT (PBE) results for an optimized crystal structure of PuPaNi.

Properties
- ΔE to the lowest computed polymorph: 0.000 eV per atom
- Formation enthalpy at 0 K: -0.165 eV per atom

a = 5.315 Å, b = 3.956 Å, c = 5.806 Å
α = 90.00°, β = 111.68°, γ = 90.00°
Atoms (fractional coordinates):
Pu  0.053  0.250  0.414
Pu  0.947  0.750  0.586
Pa  0.470  0.750  0.255
Pa  0.530  0.250  0.745
Ni  0.122  0.250  0.953
Ni  0.878  0.750  0.047

=====

# 4
DFT (PBE) results for an optimized crystal structure of ZrTe2SeN.

Properties
- E_form (uncorrected): 0.700 eV/atom
- ΔE to the lowest computed polymorph: 0.462 eV per atom

a = 5.579 Å, b = 5.579 Å, c = 3.677 Å
α = 90.00°, β = 90.00°, γ = 90.00°
Atoms (fractional coordinates):
Zr  0.000  0.000  0.000
Te  0.000  0.500  0.500
Te  0.500  0.000  0.500
Se  0.500  0.500  0.500
N  0.500  0.500  0.000

=====

# 5
DFT (PBE) results for an optimized crystal structure of Sm3CuIr2.

Properties
- Formation enthalpy at 0 K: -0.587 eV per atom

a = 11.598 Å, b = 4.164 Å, c = 11.468 Å
α = 90.00°, β = 90.00°, γ = 90.00°
Atoms (fractional coordinates):
Sm  0.052  0.250  0.123
Sm  0.121  0.750  0.564
Sm  0.203  0.250  0.814
Sm  0.297  0.750  0.314
Sm  0.379  0.250  0.064
Sm  0.448  0.750  0.623
Sm  0.552  0.250  0.377
Sm  0.621  0.750  0.936
Sm  0.703  0.250  0.686
Sm  0.797  0.750  0.186
Sm  0.879  0.250  0.436
Sm  0.948  0.750  0.877
Cu  0.128  0.250  0.375
Cu  0.372  0.750  0.875
Cu  0.628  0.250  0.125
Cu  0.872  0.750  0.625
Ir  0.017  0.750  0.314
Ir  0.182  0.750  0.993
Ir  0.318  0.250  0.493
Ir  0.483  0.250  0.814
Ir  0.517  0.750  0.186
Ir  0.682  0.750  0.507
Ir  0.818  0.250  0.007
Ir  0.983  0.250  0.686

=====

# 6
DFT (PBE) results for an optimized crystal structure of CsPu3C4N12.

Properties
- E_form (uncorrected): -0.090 eV/atom

a = 6.554 Å, b = 6.554 Å, c = 6.554 Å
α = 98.82°, β = 98.82°, γ = 98.82°
Atoms (fractional coordinates):
Cs  0.000  0.000  0.000
Pu  0.000  0.552  0.448
Pu  0.448  0.000  0.552
Pu  0.552  0.448  0.000
C  0.050  0.500  0.950
C  0.500  0.500  0.500
C  0.500  0.950  0.050
C  0.950  0.050  0.500
N  0.005  0.237  0.445
N  0.088  0.912  0.500
N  0.237  0.445  0.005
N  0.363  0.637  0.500
N  0.445  0.005  0.237
N  0.500  0.088  0.912
N  0.500  0.363  0.637
N  0.555  0.763  0.995
N  0.637  0.500  0.363
N  0.763  0.995  0.555
N  0.912  0.500  0.088
N  0.995  0.555  0.763